GGA-PBE ZrPPd, relaxed; crystal system = tetragonal; mass density = 7.71 g/cm³; space group = I4/mmm, No. 139; density of states at the Fermi level = 0.47 states/eV per atom
1.0
-1.9108 1.9108 6.7429
1.9108 -1.9108 6.7429
1.9108 1.9108 -6.7429
Zr P Pd
2 2 2
Cartesian
0.0000 0.0000 2.3240
0.0000 0.0000 11.1618
0.0000 0.0000 4.9515
0.0000 0.0000 8.5343
1.9108 0.0000 0.0000
0.0000 1.9108 0.0000


GGA-PBE Ga2CuRu, relaxed; crystal system = trigonal; mass density = 8.69 g/cm³; space group = R3m, No. 160; density of states at the Fermi level = 0.64 states/eV per atom
1.0
1.4504 0.8374 7.9693
-1.4504 0.8374 7.9693
0.0000 -1.6748 7.9693
Ga Cu Ru
2 1 1
Cartesian
0.0000 0.0000 0.0000
0.0000 0.0000 4.0465
0.0000 0.0000 17.9372
0.0000 0.0000 13.9825


GGA-PBE LiZnRe2, relaxed; crystal system = orthorhombic; mass density = 12.84 g/cm³; space group = Pmmm, No. 47; density of states at the Fermi level = 0.58 states/eV per atom
1.0
2.5768 0.0000 0.0000
0.0000 4.3750 0.0000
0.0000 0.0000 5.1023
Li Zn Re
1 1 2
Cartesian
0.0000 0.0000 0.0000
0.0000 0.0000 2.5512
1.2884 2.1875 1.2528
1.2884 2.1875 3.8495


GGA-PBE Pm2NdCd2Hg2, relaxed; crystal system = trigonal; mass density = 9.01 g/cm³; space group = R-3m, No. 166; density of states at the Fermi level = 0.72 states/eV per atom
1.0
2.4993 1.4430 9.0287
-2.4993 1.4430 9.0287
0.0000 -2.8860 9.0287
Pm Nd Cd Hg
2 1 2 2
Cartesian
0.0000 0.0000 3.3963
0.0000 0.0000 23.6898
0.0000 0.0000 0.0000
0.0000 0.0000 7.0296
0.0000 0.0000 20.0566
0.0000 0.0000 10.7922
0.0000 0.0000 16.2940


GGA-PBE CdCo2W, relaxed; crystal system = tetragonal; mass density = 12.22 g/cm³; space group = P4/mmm, No. 123; density of states at the Fermi level = 0.80 states/eV per atom
1.0
4.4661 0.0000 0.0000
0.0000 4.4661 0.0000
0.0000 0.0000 2.8208
Cd Co W
1 2 1
Cartesian
0.0000 0.0000 0.0000
0.0000 2.2331 1.4104
2.2331 0.0000 1.4104
2.2331 2.2331 0.0000


GGA-PBE SmErGe2Pt5, relaxed; crystal system = tetragonal; mass density = 14.40 g/cm³; space group = P4/mmm, No. 123; density of states at the Fermi level = 0.36 states/eV per atom
1.0
4.2872 0.0000 0.0000
0.0000 4.2872 0.0000
0.0000 0.0000 9.0236
Sm Er Ge Pt
1 1 2 5
Cartesian
0.0000 0.0000 0.0000
0.0000 0.0000 4.5118
2.1436 2.1436 3.3055
2.1436 2.1436 5.7181
0.0000 2.1436 2.0839
0.0000 2.1436 6.9397
2.1436 0.0000 2.0839
2.1436 0.0000 6.9397
2.1436 2.1436 0.0000


GGA-PBE Fe2AsPb, relaxed; crystal system = monoclinic; mass density = 9.56 g/cm³; space group = P2/m, No. 10; density of states at the Fermi level = 0.86 states/eV per atom; energy above the most stable polymorph in this dataset = 154 meV/atom
1.0
3.1693 0.0000 0.0000
0.0000 3.1428 0.0000
-1.3925 0.0000 6.8667
Fe As Pb
2 1 1
Cartesian
-0.0243 0.0000 1.2091
1.8012 0.0000 5.6576
1.5847 1.5714 0.0000
0.8884 1.5714 3.4333


GGA-PBE Cu2PAu, relaxed; crystal system = orthorhombic; mass density = 9.50 g/cm³; space group = Imm2, No. 44; density of states at the Fermi level = 0.41 states/eV per atom
1.0
-1.3566 1.8471 6.1919
1.3566 -1.8471 6.1919
1.3566 1.8471 -6.1919
Cu P Au
2 1 1
Cartesian
0.0000 0.0000 0.0000
0.0000 1.8471 2.6471
1.3566 0.0000 1.9264
0.0000 0.0000 4.7523


Here are the calculated total magnetic moment numbers, same order: 0.0, 0.0, 0.0, 0.0, 1.7, 0.0, 4.2, 0.0 (μB per formula unit).
Here are the calculated calculated formation energy numbers, same order: -1.01, -0.10, 0.35, -0.28, 0.38, -0.90, 0.31, 0.11 (eV/atom).